Record 1
The following is a DFT calculation (GGA-PBE) of an optimized crystal structure of Rh3Se.

```
Rh3Se
1.0
2.7850 -0.0035 0.0000
-1.3863 2.4155 0.0000
0.0000 0.0000 9.0725
Rh Se
3 1
direct
0.5000 0.5000 0.7500
0.0000 0.0000 0.4983
0.0000 0.0000 0.0017
0.5000 0.5000 0.2500
```

Output
Its energy above the lowest structure with this stoichiometry is 277 meV/atom. Its symmetry is No. 65. The calculation puts the uncorrected formation energy at 337 meV per atom. The value obtained for the electronic total energy is -0.222 hartree per atom. The calculation puts the size of the total moment at 0.0 μB per cell. The density of states at the Fermi level comes out at 5.8 states/eV per cell.

Record 2
The following is a DFT calculation (GGA-PBE) of an optimized crystal structure of SiRhSe2.

```
SiRhSe2
1.0
3.1288 0.0000 0.0000
0.0000 4.6426 0.0000
0.0000 0.0000 4.6426
Rh Se Si
1 2 1
direct
0.5000 0.0000 0.5000
0.0000 0.5000 0.5000
0.0000 0.0000 0.0000
0.5000 0.5000 0.0000
```

Output
Its symmetry is No. 123. The calculation puts the uncorrected formation energy at 254 meV per atom. The value obtained for the electronic total energy is -0.172 hartree per atom. The calculation puts the size of the total moment at 0.0 μB per cell. The density of states at the Fermi level comes out at 2.2 states/eV per cell.

Record 3
The following is a DFT calculation (GGA-PBE) of an optimized crystal structure of SiRhSe2.

```
SiRhSe2
1.0
4.5612 0.0000 0.0000
2.2806 3.9501 0.0000
2.2806 1.3167 3.7242
Si Se Rh
1 2 1
direct
0.2500 0.2500 0.2500
0.7500 0.7500 0.7500
0.0000 0.0000 0.0000
0.5000 0.5000 0.5000
```

Output
Its symmetry is No. 216. The calculation puts the uncorrected formation energy at 426 meV per atom. The value obtained for the electronic total energy is -0.166 hartree per atom. The calculation puts the size of the total moment at 0.0 μB per cell. The density of states at the Fermi level comes out at 3.7 states/eV per cell.

Record 4
The following is a DFT calculation (GGA-PBE) of an optimized crystal structure of Si4RhSe.

```
Si4RhSe
1.0
-2.9721 -3.4924 2.2796
-3.4770 1.4646 3.4630
-4.9908 -0.2403 -1.1227
Si Rh Se
4 1 1
direct
0.3749 0.8752 0.3749
0.3749 0.3749 0.8752
0.8752 0.3749 0.3749
0.3749 0.3749 0.3749
0.7500 0.7500 0.7500
0.0000 0.0000 0.0000
```

Output
Its symmetry is No. 216. The calculation puts the uncorrected formation energy at 554 meV per atom. The value obtained for the electronic total energy is -0.179 hartree per atom. The calculation puts the size of the total moment at 0.0 μB per cell. The density of states at the Fermi level comes out at 3.3 states/eV per cell.

Record 5
The following is a DFT calculation (GGA-PBE) of an optimized crystal structure of SiRhSe.

```
SiRhSe
1.0
4.1864 0.0000 0.0000
2.0932 3.6255 0.0000
2.0932 1.2085 3.4182
Rh Si Se
1 1 1
direct
0.0000 0.0000 0.0000
0.7500 0.7500 0.7500
0.5000 0.5000 0.5000
```

Output
Its symmetry is No. 216. The calculation puts the uncorrected formation energy at 102 meV per atom. The value obtained for the electronic total energy is -0.195 hartree per atom. The calculation puts the size of the total moment at 0.0 μB per cell. The density of states at the Fermi level comes out at 0.8 states/eV per cell.

Record 6
The following is a DFT calculation (GGA-PBE) of an optimized crystal structure of SiRhSe2.

```
SiRhSe2
1.0
-1.2530 1.5538 3.1604
-3.9773 1.1015 -2.1185
-3.2341 -3.3074 0.3438
Se Si Rh
2 1 1
direct
0.0000 0.9673 0.9673
0.0000 0.5327 0.5327
0.5000 0.2500 0.2500
0.5000 0.7500 0.7500
```

Output
Its symmetry is No. 65. The calculation puts the uncorrected formation energy at -56 meV per atom. The value obtained for the electronic total energy is -0.183 hartree per atom. The calculation puts the size of the total moment at 0.0 μB per cell. The density of states at the Fermi level comes out at 1.4 states/eV per cell.

Record 7
The following is a DFT calculation (GGA-PBE) of an optimized crystal structure of SiRhSe2.

```
SiRhSe2
1.0
0.1556 -1.1480 -4.7264
-4.4423 -1.7149 -1.0029
1.2411 4.1760 2.1684
Rh Se Si
1 2 1
direct
0.7500 0.2500 0.5000
0.0000 0.0000 0.0000
0.2500 0.7500 0.5000
0.5000 0.5000 0.0000
```

Output
Its symmetry is No. 119. The calculation puts the uncorrected formation energy at 402 meV per atom. The value obtained for the electronic total energy is -0.167 hartree per atom. The calculation puts the size of the total moment at 0.0 μB per cell. The density of states at the Fermi level comes out at 2.8 states/eV per cell.

Record 8
The following is a DFT calculation (GGA-PBE) of an optimized crystal structure of SiRhSe2.

```
SiRhSe2
1.0
-3.6688 4.3067 -0.1240
-3.7505 -3.1121 2.8760
-1.6084 2.5264 6.2036
Si Se Rh
2 4 2
direct
0.5000 0.5000 0.0000
0.2500 0.7500 0.5000
0.6293 0.1250 0.2500
0.3750 0.3707 0.7500
0.1207 0.6250 0.2500
0.8750 0.8793 0.7500
0.7500 0.2500 0.5000
0.0000 0.0000 0.0000
```

Output
Its symmetry is No. 122. The calculation puts the uncorrected formation energy at 29 meV per atom. The value obtained for the electronic total energy is -0.180 hartree per atom. The calculation puts the size of the total moment at 0.0 μB per cell. The density of states at the Fermi level comes out at 5.6 states/eV per cell.

Record 9
The following is a DFT calculation (GGA-PBE) of an optimized crystal structure of SiRhSe4.

```
SiRhSe4
1.0
-2.6010 3.3813 3.5649
0.9599 5.4736 -0.1565
-3.9460 3.4629 -1.8287
Se Si Rh
4 1 1
direct
0.3734 0.8799 0.3734
0.3734 0.3734 0.8799
0.8799 0.3734 0.3734
0.3734 0.3734 0.3734
0.7500 0.7500 0.7500
0.0000 0.0000 0.0000
```

Output
Its symmetry is No. 216. The calculation puts the uncorrected formation energy at 988 meV per atom. The value obtained for the electronic total energy is -0.127 hartree per atom. The calculation puts the size of the total moment at 0.0 μB per cell. The density of states at the Fermi level comes out at 5.1 states/eV per cell.

Record 10
The following is a DFT calculation (GGA-PBE) of an optimized crystal structure of SiRhSe2.

```
SiRhSe2
1.0
3.4820 0.0000 0.0000
0.0000 4.3615 0.0192
0.0000 0.6072 6.1137
Si Rh Se
1 1 2
direct
0.0000 0.4123 0.6349
0.5000 0.7676 0.6249
0.0000 0.9683 0.8781
0.5000 0.3518 0.3621
```

Output
Its symmetry is No. 6. The calculation puts the uncorrected formation energy at -261 meV per atom. The value obtained for the electronic total energy is -0.191 hartree per atom. The calculation puts the size of the total moment at 0.0 μB per cell. The density of states at the Fermi level comes out at 1.8 states/eV per cell.

Record 11
The following is a DFT calculation (GGA-PBE) of an optimized crystal structure of SiRhSe3.

```
SiRhSe3
1.0
-3.1579 3.3185 -1.2515
-0.7711 -2.2780 -4.0947
-3.4618 -2.5198 2.0537
Si Se Rh
1 3 1
direct
0.0000 0.0000 0.0000
0.5000 0.0000 0.0000
0.0000 0.5000 0.0000
0.0000 0.0000 0.5000
0.5000 0.5000 0.5000
```

Output
Its energy above the lowest structure with this stoichiometry is 147 meV/atom. Its symmetry is No. 221. The calculation puts the uncorrected formation energy at 733 meV per atom. The value obtained for the electronic total energy is -0.144 hartree per atom. The calculation puts the size of the total moment at 1.9 μB per cell. The density of states at the Fermi level comes out at 4.3 states/eV per cell.

Record 12
The following is a DFT calculation (GGA-PBE) of an optimized crystal structure of SiRhSe.

```
SiRhSe
1.0
3.2703 0.0000 0.0000
-1.6352 2.8322 0.0000
0.0000 0.0000 5.2123
Si Se Rh
1 1 1
direct
0.3333 0.6667 0.6793
0.6667 0.3333 0.3512
0.0000 0.0000 0.9696
```

Output
Its symmetry is No. 156. The calculation puts the uncorrected formation energy at -179 meV per atom. The value obtained for the electronic total energy is -0.206 hartree per atom. The calculation puts the size of the total moment at 0.0 μB per cell. The density of states at the Fermi level comes out at 2.0 states/eV per cell.

electronic total energy of number 4 (Si4RhSe)?
-0.179 hartree per atom

Number 5 is which compound?
SiRhSe